First-principles (GGA-PBE) data for crystalline Nd4Dy2Y at its relaxed geometry, as listed in Alexandria via LeMat-Bulk.

extended XYZ file:
```
14
Lattice="6.912 0.951 0.000 -2.558 6.492 0.000 0.000 0.000 10.630" Properties=species:S:1:pos:R:3 pbc="T T T"
Nd 0.877 1.495 0.000
Nd 3.456 0.475 7.975
Nd 3.481 5.945 5.315
Nd 3.456 0.475 2.655
Nd 3.477 5.947 0.000
Nd -1.279 3.246 7.970
Nd 0.874 1.497 5.315
Nd -1.279 3.246 2.660
Y 2.177 3.721 7.973
Y 2.177 3.721 2.658
Dy 0.223 4.859 0.000
Dy 4.131 2.584 0.000
Dy 4.126 2.575 5.315
Dy 0.228 4.867 5.315
```

Computed properties:
Energy above the lowest structure with this stoichiometry: 16.7 meV per atom
Formation enthalpy at 0 K: 199.7 meV per atom

First-principles (GGA-PBE) data for crystalline Nd5Dy2Y3 at its relaxed geometry, as listed in Alexandria via LeMat-Bulk.

extended XYZ file:
```
20
Lattice="6.482 0.000 0.000 3.241 10.277 -2.576 3.241 -0.960 10.551" Properties=species:S:1:pos:R:3 pbc="T T T"
Nd 9.723 5.084 8.248
Nd 8.103 7.010 6.001
Nd 11.344 7.010 6.001
Nd 4.862 4.658 3.987
Nd 3.241 4.233 -0.274
Nd 6.482 0.383 4.224
Nd 8.103 4.658 3.987
Nd 6.482 8.934 3.751
Nd 1.621 2.306 1.974
Nd 4.862 2.306 1.974
Dy 9.723 1.747 9.038
Dy 6.482 0.118 7.643
Dy 3.241 7.569 -1.063
Dy 6.482 9.199 0.332
Y 6.482 3.580 6.891
Y 9.723 7.361 2.474
Y 1.621 0.000 0.000
Y 3.241 1.956 5.501
Y 6.482 5.737 1.084
Y 4.862 0.000 0.000
```

Computed properties:
Energy above the lowest structure with this stoichiometry: 101.3 meV per atom
Formation enthalpy at 0 K: 281.0 meV per atom

First-principles (GGA-PBE) data for crystalline Nd3Dy5Y4 at its relaxed geometry, as listed in Alexandria via LeMat-Bulk.

extended XYZ file:
```
12
Lattice="-0.818 4.750 5.310 -1.977 -11.167 -0.004 7.826 10.125 1.812" Properties=species:S:1:pos:R:3 pbc="T T T"
Dy 6.631 5.729 3.143
Dy 4.942 2.579 3.278
Dy 0.088 1.129 3.840
Dy -1.600 -2.021 3.975
Dy 3.504 7.438 3.561
Y 0.508 -1.251 1.195
Y 2.827 1.796 6.078
Y 2.204 1.912 1.040
Y 4.523 4.959 5.923
Nd 3.913 5.063 0.906
Nd 3.232 -0.576 3.424
Nd 1.799 4.285 3.694
```

Computed properties:
Energy above the lowest structure with this stoichiometry: 0.0 meV per atom
Formation enthalpy at 0 K: 17.5 meV per atom

First-principles (GGA-PBE) data for crystalline Nd5Dy3Y at its relaxed geometry, as listed in Alexandria via LeMat-Bulk.

extended XYZ file:
```
18
Lattice="3.400 11.549 2.078 -3.400 11.549 2.078 0.000 7.267 9.155" Properties=species:S:1:pos:R:3 pbc="T T T"
Nd -0.610 22.745 8.011
Nd 0.610 26.379 12.589
Nd -0.610 3.987 0.722
Nd 0.008 10.239 3.173
Nd -0.008 20.127 10.138
Nd -1.281 17.000 8.944
Nd 0.610 7.621 5.299
Nd 1.281 13.366 4.366
Nd -0.008 13.872 7.750
Nd 0.008 16.493 5.560
Dy 0.000 0.000 0.000
Dy -0.666 10.424 6.624
Dy 0.666 6.790 2.046
Dy -0.666 23.576 11.264
Dy 0.000 3.634 4.577
Dy 0.666 19.942 6.687
Y 1.774 17.000 8.944
Y -1.774 13.366 4.366
```

Computed properties:
Energy above the lowest structure with this stoichiometry: 0.0 meV per atom
Formation enthalpy at 0 K: 170.4 meV per atom